# PBE AlZnI2N, relaxed
data_AlZnI2N
_cell_length_a 5.776
_cell_length_b 5.776
_cell_length_c 3.583
_cell_angle_alpha 90.00
_cell_angle_beta 90.00
_cell_angle_gamma 90.00
_space_group_name_H-M_alt 'P 1'
_space_group_IT_number 1
_space_group_name_Hall 'P 1'
loop_
_atom_site_label
_atom_site_type_symbol
_atom_site_fract_x
_atom_site_fract_y
_atom_site_fract_z
_atom_site_occupancy
Al1 Al 0.000 0.000 0.000 1
Zn1 Zn 0.500 0.500 0.500 1
I1 I 0.000 0.500 0.000 1
I2 I 0.500 0.000 0.000 1
N1 N 0.000 0.000 0.500 1
# * space-group type: P4/mmm (123)
# * D(E_F): 5.7 states/eV/f.u.
# * theoretical density: 5.00 g cm⁻³
# * energy: -3.056 eV per atom
# * formation energy (no corrections): 1.161 eV/f.u.
# * distance to the lowest polymorph of the same formula: 0.0 meV per atom

# PBE AlZnI2N, relaxed
data_AlZnI2N
_cell_length_a 5.914
_cell_length_b 5.914
_cell_length_c 3.874
_cell_angle_alpha 90.00
_cell_angle_beta 90.00
_cell_angle_gamma 90.00
_space_group_name_H-M_alt 'P 1'
_space_group_IT_number 1
_space_group_name_Hall 'P 1'
loop_
_atom_site_label
_atom_site_type_symbol
_atom_site_fract_x
_atom_site_fract_y
_atom_site_fract_z
_atom_site_occupancy
Al1 Al 0.000 0.000 0.000 1
Zn1 Zn 0.500 0.500 0.500 1
I1 I 0.000 0.500 0.500 1
I2 I 0.500 0.000 0.500 1
N1 N 0.500 0.500 0.000 1
# * space-group type: P4/mmm (123)
# * D(E_F): 0.9 states/eV/f.u.
# * theoretical density: 4.41 g cm⁻³
# * energy: -2.729 eV per atom
# * formation energy (no corrections): 2.798 eV/f.u.
# * distance to the lowest polymorph of the same formula: 327.4 meV per atom

# PBE ZrAlIN2, relaxed
data_ZrAlIN2
_cell_length_a 3.967
_cell_length_b 3.967
_cell_length_c 5.205
_cell_angle_alpha 90.00
_cell_angle_beta 90.00
_cell_angle_gamma 90.00
_space_group_name_H-M_alt 'P 1'
_space_group_IT_number 1
_space_group_name_Hall 'P 1'
loop_
_atom_site_label
_atom_site_type_symbol
_atom_site_fract_x
_atom_site_fract_y
_atom_site_fract_z
_atom_site_occupancy
Zr1 Zr 0.000 0.000 0.000 1
Al1 Al 0.500 0.500 0.500 1
I1 I 0.500 0.500 0.000 1
N1 N 0.000 0.500 0.500 1
N2 N 0.500 0.000 0.500 1
# * space-group type: P4/mmm (123)
# * D(E_F): 4.1 states/eV/f.u.
# * theoretical density: 5.54 g cm⁻³
# * energy: -5.389 eV per atom
# * formation energy (no corrections): 3.546 eV/f.u.
# * distance to the lowest polymorph of the same formula: 277.8 meV per atom

# PBE ZrAlIN2, relaxed
data_ZrAlIN2
_cell_length_a 4.249
_cell_length_b 4.249
_cell_length_c 6.063
_cell_angle_alpha 90.00
_cell_angle_beta 90.00
_cell_angle_gamma 90.00
_space_group_name_H-M_alt 'P 1'
_space_group_IT_number 1
_space_group_name_Hall 'P 1'
loop_
_atom_site_label
_atom_site_type_symbol
_atom_site_fract_x
_atom_site_fract_y
_atom_site_fract_z
_atom_site_occupancy
Zr1 Zr 0.000 0.000 0.000 1
Al1 Al 0.500 0.500 0.500 1
I1 I 0.000 0.000 0.500 1
N1 N 0.000 0.500 0.000 1
N2 N 0.500 0.000 0.000 1
# * space-group type: P4/mmm (123)
# * D(E_F): 3.8 states/eV/f.u.
# * theoretical density: 4.14 g cm⁻³
# * energy: -5.667 eV per atom
# * formation energy (no corrections): 2.157 eV/f.u.
# * distance to the lowest polymorph of the same formula: 0.0 meV per atom

# PBE NaAl2I, relaxed
data_NaAl2I
_cell_length_a 5.495
_cell_length_b 5.495
_cell_length_c 5.495
_cell_angle_alpha 60.00
_cell_angle_beta 60.00
_cell_angle_gamma 60.00
_space_group_name_H-M_alt 'P 1'
_space_group_IT_number 1
_space_group_name_Hall 'P 1'
loop_
_atom_site_label
_atom_site_type_symbol
_atom_site_fract_x
_atom_site_fract_y
_atom_site_fract_z
_atom_site_occupancy
Na1 Na 0.000 0.000 0.000 1
Al1 Al 0.250 0.250 0.250 1
Al2 Al 0.750 0.750 0.750 1
I1 I 0.500 0.500 0.500 1
# * space-group type: Fm-3m (225)
# * D(E_F): 6.5 states/eV/f.u.
# * theoretical density: 2.88 g cm⁻³
# * energy: -2.115 eV per atom
# * formation energy (no corrections): 1.896 eV/f.u.
# * distance to the lowest polymorph of the same formula: 233.5 meV per atom

# PBE NaAlI2, relaxed
data_NaAlI2
_cell_length_a 9.048
_cell_length_b 9.048
_cell_length_c 9.048
_cell_angle_alpha 132.25
_cell_angle_beta 132.25
_cell_angle_gamma 69.83
_space_group_name_H-M_alt 'P 1'
_space_group_IT_number 1
_space_group_name_Hall 'P 1'
loop_
_atom_site_label
_atom_site_type_symbol
_atom_site_fract_x
_atom_site_fract_y
_atom_site_fract_z
_atom_site_occupancy
Na1 Na 0.000 0.000 0.000 1
Na2 Na 0.750 0.250 0.500 1
Al1 Al 0.250 0.750 0.500 1
Al2 Al 0.500 0.500 0.000 1
I1 I 0.110 0.625 0.985 1
I2 I 0.375 0.360 0.485 1
I3 I 0.640 0.125 0.015 1
I4 I 0.875 0.890 0.515 1
# * space-group type: I-42d (122)
# * D(E_F): 0.0 states/eV/f.u.
# * theoretical density: 2.53 g cm⁻³
# * energy: -2.540 eV per atom
# * formation energy (no corrections): -1.998 eV/f.u.
# * distance to the lowest polymorph of the same formula: 0.0 meV per atom

# PBE Na2AlI4, relaxed
data_Na2AlI4
_cell_length_a 8.138
_cell_length_b 8.138
_cell_length_c 8.138
_cell_angle_alpha 125.40
_cell_angle_beta 125.40
_cell_angle_gamma 80.88
_space_group_name_H-M_alt 'P 1'
_space_group_IT_number 1
_space_group_name_Hall 'P 1'
loop_
_atom_site_label
_atom_site_type_symbol
_atom_site_fract_x
_atom_site_fract_y
_atom_site_fract_z
_atom_site_occupancy
Na1 Na 0.250 0.750 0.500 1
Na2 Na 0.750 0.250 0.500 1
Al1 Al 0.000 0.000 0.000 1
I1 I 0.113 0.654 0.000 1
I2 I 0.346 0.346 0.459 1
I3 I 0.654 0.113 0.000 1
I4 I 0.887 0.887 0.541 1
# * space-group type: I-42m (121)
# * D(E_F): 3.1 states/eV/f.u.
# * theoretical density: 2.79 g cm⁻³
# * energy: -2.569 eV per atom
# * formation energy (no corrections): -5.399 eV/f.u.

# PBE NaAl2I, relaxed
data_NaAl2I
_cell_length_a 6.947
_cell_length_b 6.947
_cell_length_c 6.947
_cell_angle_alpha 100.55
_cell_angle_beta 100.55
_cell_angle_gamma 129.34
_space_group_name_H-M_alt 'P 1'
_space_group_IT_number 1
_space_group_name_Hall 'P 1'
loop_
_atom_site_label
_atom_site_type_symbol
_atom_site_fract_x
_atom_site_fract_y
_atom_site_fract_z
_atom_site_occupancy
Na1 Na 0.000 0.000 0.000 1
Na2 Na 0.750 0.250 0.500 1
Al1 Al 0.130 0.625 0.005 1
Al2 Al 0.375 0.380 0.505 1
Al3 Al 0.620 0.125 0.995 1
Al4 Al 0.875 0.870 0.495 1
I1 I 0.250 0.750 0.500 1
I2 I 0.500 0.500 0.000 1
# * space-group type: I-42d (122)
# * D(E_F): 2.5 states/eV/f.u.
# * theoretical density: 2.89 g cm⁻³
# * energy: -2.348 eV per atom
# * formation energy (no corrections): 0.962 eV/f.u.
# * distance to the lowest polymorph of the same formula: 0.0 meV per atom

# PBE Na3AlI6, relaxed
data_Na3AlI6
_cell_length_a 10.157
_cell_length_b 10.157
_cell_length_c 8.737
_cell_angle_alpha 90.00
_cell_angle_beta 90.00
_cell_angle_gamma 99.64
_space_group_name_H-M_alt 'P 1'
_space_group_IT_number 1
_space_group_name_Hall 'P 1'
loop_
_atom_site_label
_atom_site_type_symbol
_atom_site_fract_x
_atom_site_fract_y
_atom_site_fract_z
_atom_site_occupancy
Na1 Na 0.045 0.955 0.500 1
Na2 Na 0.199 0.379 0.485 1
Na3 Na 0.379 0.199 0.985 1
Na4 Na 0.621 0.801 0.485 1
Na5 Na 0.801 0.621 0.985 1
Na6 Na 0.955 0.045 0.000 1
Al1 Al 0.325 0.675 0.878 1
Al2 Al 0.675 0.325 0.378 1
I1 I 0.117 0.560 0.018 1
I2 I 0.159 0.172 0.744 1
I3 I 0.172 0.159 0.244 1
I4 I 0.273 0.727 0.594 1
I5 I 0.440 0.883 0.018 1
I6 I 0.492 0.508 0.859 1
I7 I 0.508 0.492 0.359 1
I8 I 0.560 0.117 0.518 1
I9 I 0.727 0.273 0.094 1
I10 I 0.828 0.841 0.744 1
I11 I 0.841 0.828 0.244 1
I12 I 0.883 0.440 0.518 1
# * space-group type: Cmc2_1 (36)
# * D(E_F): 0.0 states/eV/f.u.
# * theoretical density: 3.20 g cm⁻³
# * energy: -2.684 eV per atom
# * formation energy (no corrections): -9.840 eV/f.u.

# PBE Na2Al2I, relaxed
data_Na2Al2I
_cell_length_a 9.714
_cell_length_b 9.714
_cell_length_c 9.714
_cell_angle_alpha 156.84
_cell_angle_beta 156.84
_cell_angle_gamma 32.98
_space_group_name_H-M_alt 'P 1'
_space_group_IT_number 1
_space_group_name_Hall 'P 1'
loop_
_atom_site_label
_atom_site_type_symbol
_atom_site_fract_x
_atom_site_fract_y
_atom_site_fract_z
_atom_site_occupancy
Na1 Na 0.102 0.102 0.000 1
Na2 Na 0.898 0.898 0.000 1
Al1 Al 0.250 0.750 0.500 1
Al2 Al 0.750 0.250 0.500 1
I1 I 0.500 0.500 0.000 1
# * space-group type: I4/mmm (139)
# * D(E_F): 1.6 states/eV/f.u.
# * theoretical density: 2.66 g cm⁻³
# * energy: -2.596 eV per atom
# * formation energy (no corrections): -1.307 eV/f.u.
# * distance to the lowest polymorph of the same formula: 0.0 meV per atom

# PBE Na3Al5I12, relaxed
data_Na3Al5I12
_cell_length_a 16.406
_cell_length_b 16.406
_cell_length_c 16.406
_cell_angle_alpha 109.47
_cell_angle_beta 109.47
_cell_angle_gamma 109.47
_space_group_name_H-M_alt 'P 1'
_space_group_IT_number 1
_space_group_name_Hall 'P 1'
loop_
_atom_site_label
_atom_site_type_symbol
_atom_site_fract_x
_atom_site_fract_y
_atom_site_fract_z
_atom_site_occupancy
Na1 Na 0.125 0.250 0.375 1
Na2 Na 0.125 0.375 0.750 1
Na3 Na 0.250 0.375 0.125 1
Na4 Na 0.250 0.875 0.625 1
Na5 Na 0.375 0.125 0.250 1
Na6 Na 0.375 0.750 0.125 1
Na7 Na 0.625 0.250 0.875 1
Na8 Na 0.625 0.875 0.750 1
Na9 Na 0.750 0.125 0.375 1
Na10 Na 0.750 0.625 0.875 1
Na11 Na 0.875 0.625 0.250 1
Na12 Na 0.875 0.750 0.625 1
Al1 Al 0.000 0.000 0.000 1
Al2 Al 0.000 0.000 0.500 1
Al3 Al 0.000 0.500 0.000 1
Al4 Al 0.000 0.500 0.500 1
Al5 Al 0.125 0.750 0.875 1
Al6 Al 0.125 0.875 0.250 1
Al7 Al 0.250 0.125 0.875 1
Al8 Al 0.250 0.625 0.375 1
Al9 Al 0.375 0.250 0.625 1
Al10 Al 0.375 0.625 0.750 1
Al11 Al 0.500 0.000 0.000 1
Al12 Al 0.500 0.000 0.500 1
Al13 Al 0.500 0.500 0.000 1
Al14 Al 0.500 0.500 0.500 1
Al15 Al 0.625 0.375 0.250 1
Al16 Al 0.625 0.750 0.375 1
Al17 Al 0.750 0.375 0.625 1
Al18 Al 0.750 0.875 0.125 1
Al19 Al 0.875 0.125 0.750 1
Al20 Al 0.875 0.250 0.125 1
I1 I 0.020 0.208 0.120 1
I2 I 0.020 0.312 0.899 1
I3 I 0.087 0.708 0.688 1
I4 I 0.087 0.880 0.399 1
I5 I 0.101 0.620 0.413 1
I6 I 0.101 0.980 0.688 1
I7 I 0.120 0.020 0.208 1
I8 I 0.120 0.601 0.913 1
I9 I 0.188 0.208 0.587 1
I10 I 0.188 0.480 0.601 1
I11 I 0.208 0.120 0.020 1
I12 I 0.208 0.587 0.188 1
I13 I 0.292 0.312 0.913 1
I14 I 0.292 0.480 0.380 1
I15 I 0.312 0.899 0.020 1
I16 I 0.312 0.913 0.292 1
I17 I 0.380 0.292 0.480 1
I18 I 0.380 0.587 0.899 1
I19 I 0.399 0.087 0.880 1
I20 I 0.399 0.812 0.520 1
I21 I 0.413 0.101 0.620 1
I22 I 0.413 0.812 0.792 1
I23 I 0.480 0.380 0.292 1
I24 I 0.480 0.601 0.188 1
I25 I 0.520 0.399 0.812 1
I26 I 0.520 0.620 0.708 1
I27 I 0.587 0.188 0.208 1
I28 I 0.587 0.899 0.380 1
I29 I 0.601 0.188 0.480 1
I30 I 0.601 0.913 0.120 1
I31 I 0.620 0.413 0.101 1
I32 I 0.620 0.708 0.520 1
I33 I 0.688 0.087 0.708 1
I34 I 0.688 0.101 0.980 1
I35 I 0.708 0.520 0.620 1
I36 I 0.708 0.688 0.087 1
I37 I 0.792 0.413 0.812 1
I38 I 0.792 0.880 0.980 1
I39 I 0.812 0.520 0.399 1
I40 I 0.812 0.792 0.413 1
I41 I 0.880 0.399 0.087 1
I42 I 0.880 0.980 0.792 1
I43 I 0.899 0.020 0.312 1
I44 I 0.899 0.380 0.587 1
I45 I 0.913 0.120 0.601 1
I46 I 0.913 0.292 0.312 1
I47 I 0.980 0.688 0.101 1
I48 I 0.980 0.792 0.880 1
# * space-group type: Ia-3d (230)
# * D(E_F): 3.8 states/eV/f.u.
# * theoretical density: 3.37 g cm⁻³
# * energy: -2.584 eV per atom
# * formation energy (no corrections): -10.405 eV/f.u.

# PBE NaAl3I, relaxed
data_NaAl3I
_cell_length_a 5.496
_cell_length_b 5.496
_cell_length_c 5.496
_cell_angle_alpha 90.00
_cell_angle_beta 90.00
_cell_angle_gamma 90.00
_space_group_name_H-M_alt 'P 1'
_space_group_IT_number 1
_space_group_name_Hall 'P 1'
loop_
_atom_site_label
_atom_site_type_symbol
_atom_site_fract_x
_atom_site_fract_y
_atom_site_fract_z
_atom_site_occupancy
Na1 Na 0.000 0.000 0.000 1
Al1 Al 0.000 0.000 0.500 1
Al2 Al 0.000 0.500 0.000 1
Al3 Al 0.500 0.000 0.000 1
I1 I 0.500 0.500 0.500 1
# * space-group type: Pm-3m (221)
# * D(E_F): 3.2 states/eV/f.u.
# * theoretical density: 2.31 g cm⁻³
# * energy: -1.965 eV per atom
# * formation energy (no corrections): 4.274 eV/f.u.
# * distance to the lowest polymorph of the same formula: 0.0 meV per atom

Per-record total moment, μB per formula unit: 0.001, 1.937, 0.001, 0.667, 0.000, 0.000, 1.027, 0.000, 0.000, 0.000, 0.000, 0.000